Ta3W2 | the Open Quantum Materials Database | PBE | relaxed; offset from the most stable computed form = 0 meV/atom; energy relative to the elements = 0.15 eV per formula unit
1.0
-0.420 3.452 9.396
-9.846 1.552 -1.011
-0.951 -4.893 1.755
W Ta
12 18
direct
0.757 0.565 0.500
0.603 0.603 0.000
0.257 0.935 0.000
0.435 0.243 0.500
0.935 0.257 0.000
0.565 0.757 0.500
0.103 0.897 0.500
0.065 0.743 0.000
0.897 0.103 0.500
0.397 0.397 0.000
0.743 0.065 0.000
0.243 0.435 0.500
0.132 0.466 0.000
0.868 0.534 0.000
0.534 0.868 0.000
0.966 0.368 0.500
0.685 0.315 0.751
0.685 0.315 0.249
0.315 0.685 0.249
0.500 0.500 0.500
0.315 0.685 0.751
0.632 0.034 0.500
0.815 0.815 0.749
0.368 0.966 0.500
0.000 0.000 0.000
0.466 0.132 0.000
0.185 0.185 0.749
0.034 0.632 0.500
0.815 0.815 0.251
0.185 0.185 0.251